{"formula": "SrPuCrO6", "functional": "PBE with a Hubbard U", "state": "relaxed", "dft_energy_ry_per_atom": -0.614, "cell": [[5.347, 0.000, 0.000], [-2.674, 4.631, 0.000], [0.000, 0.000, 10.861]], "species": ["Sr", "Sr", "Pu", "Pu", "Cr", "Cr", "O", "O", "O", "O", "O", "O", "O", "O", "O", "O", "O", "O"], "frac_coords": [[0.000, 0.000, 0.000], [0.000, 0.000, 0.500], [0.333, 0.667, 0.250], [0.667, 0.333, 0.750], [0.333, 0.667, 0.750], [0.667, 0.333, 0.250], [0.000, 0.367, 0.149], [0.000, 0.368, 0.649], [0.000, 0.632, 0.351], [0.000, 0.633, 0.851], [0.367, 0.000, 0.649], [0.367, 0.368, 0.851], [0.368, 0.000, 0.149], [0.368, 0.367, 0.351], [0.632, 0.000, 0.851], [0.632, 0.633, 0.649], [0.633, 0.000, 0.351], [0.633, 0.632, 0.149]]}


{"formula": "PuTaCrO6", "functional": "PBE with a Hubbard U", "state": "relaxed", "dft_energy_ry_per_atom": -0.700, "cell": [[5.416, 0.000, 0.000], [-2.708, 4.690, 0.000], [0.000, 0.000, 8.753]], "species": ["Pu", "Pu", "Ta", "Ta", "Cr", "Cr", "O", "O", "O", "O", "O", "O", "O", "O", "O", "O", "O", "O"], "frac_coords": [[0.333, 0.667, 0.250], [0.667, 0.333, 0.750], [0.333, 0.667, 0.750], [0.667, 0.333, 0.250], [0.000, 0.000, 0.000], [0.000, 0.000, 0.500], [0.029, 0.344, 0.627], [0.029, 0.685, 0.873], [0.315, 0.344, 0.873], [0.315, 0.971, 0.627], [0.344, 0.029, 0.127], [0.344, 0.315, 0.373], [0.656, 0.685, 0.627], [0.656, 0.971, 0.873], [0.685, 0.029, 0.373], [0.685, 0.656, 0.127], [0.971, 0.315, 0.127], [0.971, 0.656, 0.373]]}


{"formula": "Pu3Tl4CrO12", "functional": "PBE with a Hubbard U", "state": "relaxed", "dft_energy_ry_per_atom": -0.579, "cell": [[-4.238, 4.238, 4.238], [4.238, -4.238, 4.238], [4.238, 4.238, -4.238]], "species": ["Pu", "Pu", "Pu", "Tl", "Tl", "Tl", "Tl", "Cr", "O", "O", "O", "O", "O", "O", "O", "O", "O", "O", "O", "O"], "frac_coords": [[0.000, 0.500, 0.500], [0.500, 0.000, 0.500], [0.500, 0.500, 0.000], [0.000, 0.000, 0.500], [0.000, 0.500, 0.000], [0.500, 0.000, 0.000], [0.500, 0.500, 0.500], [0.000, 0.000, 0.000], [0.000, 0.255, 0.255], [0.000, 0.745, 0.745], [0.250, 0.500, 0.750], [0.250, 0.750, 0.500], [0.255, 0.000, 0.255], [0.255, 0.255, 0.000], [0.500, 0.250, 0.750], [0.500, 0.750, 0.250], [0.745, 0.000, 0.745], [0.745, 0.745, 0.000], [0.750, 0.250, 0.500], [0.750, 0.500, 0.250]]}